First-principles (PBE) data for a relaxed structure of NaTbEuTl, as listed in Alexandria.

a = 5.571 Å, b = 5.571 Å, c = 5.571 Å
α = 60.00°, β = 60.00°, γ = 60.00°
Sites, in units of the cell vectors:
Tb: 0.500 0.500 0.500
Tl: 0.750 0.750 0.750
Na: 0.250 0.250 0.250
Eu: 0.000 0.000 0.000

Values from the calculation:
The formation enthalpy at 0 K comes out at -82 meV/atom. Its crystal system is cubic. Its symmetry is F-43m.

=====

First-principles (PBE) data for a relaxed structure of KHoCdTe3, as listed in Alexandria.

a = 4.496 Å, b = 9.513 Å, c = 10.785 Å
α = 107.75°, β = 90.00°, γ = 90.00°
Sites, in units of the cell vectors:
Ho: 0.250 0.671 0.137
Ho: 0.750 0.329 0.863
Cd: 0.750 0.917 0.393
Cd: 0.250 0.083 0.607
K: 0.250 0.211 0.240
K: 0.750 0.789 0.760
Te: 0.250 0.762 0.457
Te: 0.250 0.542 0.843
Te: 0.750 0.896 0.128
Te: 0.750 0.238 0.543
Te: 0.750 0.458 0.157
Te: 0.250 0.104 0.872

Values from the calculation:
For the formation energy (no corrections), the calculation gives -1.045 eV/atom. Its crystal system is monoclinic. Its symmetry is P2_1/m.

=====

First-principles (PBE) data for a relaxed structure of NdEr2In, as listed in Alexandria.

a = 4.835 Å, b = 4.888 Å, c = 4.888 Å
α = 90.00°, β = 90.00°, γ = 90.00°
Sites, in units of the cell vectors:
Er: 0.000 0.000 0.500
Er: 0.000 0.500 0.000
In: 0.500 0.000 0.000
Nd: 0.500 0.500 0.500

Values from the calculation:
The formation enthalpy at 0 K comes out at -259 meV/atom. Its crystal system is tetragonal. Its symmetry is P4/mmm. As for the offset from the most stable computed form: 0 meV per atom.

=====

First-principles (PBE) data for a relaxed structure of Ba2TaAu2, as listed in Alexandria.

a = 10.438 Å, b = 10.438 Å, c = 10.438 Å
α = 158.14°, β = 158.14°, γ = 31.10°
Sites, in units of the cell vectors:
Au: 0.250 0.750 0.500
Au: 0.750 0.250 0.500
Ta: 0.000 0.000 0.000
Ba: 0.610 0.610 0.000
Ba: 0.390 0.390 0.000

Values from the calculation:
The formation enthalpy at 0 K comes out at 483 meV/atom. Its crystal system is tetragonal. Its symmetry is I4/mmm.

=====

First-principles (PBE) data for a relaxed structure of ErInSi2Rh5, as listed in Alexandria.

a = 4.179 Å, b = 4.179 Å, c = 8.426 Å
α = 90.00°, β = 90.00°, γ = 90.00°
Sites, in units of the cell vectors:
Rh: 0.000 0.500 0.742
Rh: 0.000 0.500 0.258
Rh: 0.500 0.000 0.258
Rh: 0.500 0.500 0.500
Rh: 0.500 0.000 0.742
Si: 0.500 0.500 0.862
Si: 0.500 0.500 0.138
In: 0.000 0.000 0.000
Er: 0.000 0.000 0.500

Values from the calculation:
For the formation energy (no corrections), the calculation gives -0.597 eV/atom. Its crystal system is tetragonal. Its symmetry is P4/mmm.

=====

First-principles (PBE) data for a relaxed structure of AgAsCl, as listed in Alexandria.

a = 3.668 Å, b = 6.682 Å, c = 6.549 Å
α = 77.95°, β = 73.66°, γ = 89.81°
Sites, in units of the cell vectors:
Ag: 0.658 0.724 0.682
Ag: 0.342 0.276 0.318
Cl: 0.697 0.223 0.606
Cl: 0.303 0.777 0.394
As: 0.990 0.320 0.023
As: 0.010 0.680 0.977

Values from the calculation:
For the formation energy (no corrections), the calculation gives -0.149 eV/atom. Its crystal system is triclinic. Its symmetry is P-1. As for the offset from the most stable computed form: 0 meV per atom.

=====

no.,uncorrected energy (eV per atom)
1,-4.730
2,-3.714
3,-4.417
4,-3.968
5,-6.697
6,-3.265